--- w ---
Density functional theory data (PBE-GGA) for an optimized crystal structure of KCu2Rh.

a = 4.956 Å, b = 4.956 Å, c = 9.010 Å
α = 74.04°, β = 74.04°, γ = 90.00°
Each line ends with the local moment (μB).
Positions (direct):
K 0.500 0.500 0.000  0.00
K 0.250 0.750 0.500  0.00
Rh 0.000 0.000 0.000  0.32
Rh 0.750 0.250 0.500  0.32
Cu 0.875 0.125 0.250  0.11
Cu 0.875 0.625 0.250  0.10
Cu 0.375 0.125 0.750  0.04
Cu 0.875 0.125 0.750  0.07

The spin magnetization comes out at 0.12 μB per atom. As for the symmetry: No. 141.



--- x ---
Density functional theory data (PBE-GGA) for an optimized crystal structure of KCu2Rh.

a = 3.548 Å, b = 2.922 Å, c = 7.861 Å
α = 67.99°, β = 90.00°, γ = 90.00°
Positions (direct):
Cu 0.000 0.082 0.917
Cu 0.000 0.418 0.583
K 0.500 0.250 0.250
Rh 0.500 0.750 0.750

The spin magnetization comes out at 0.00 μB per atom. As for the symmetry: No. 10.



--- y ---
Density functional theory data (PBE-GGA) for an optimized crystal structure of KCu2Rh.

a = 9.914 Å, b = 9.914 Å, c = 9.914 Å
α = 16.41°, β = 16.41°, γ = 16.41°
Each line ends with the local moment (μB).
Positions (direct):
Cu 0.013 0.013 0.013  0.02
Cu 0.487 0.487 0.487  0.02
K 0.250 0.250 0.250  -0.01
Rh 0.750 0.750 0.750  0.57

The spin magnetization comes out at 0.14 μB per atom. As for the symmetry: No. 166.



The computed energies, referenced to the most stable structure and given in eV/atom, are w 0.274; x 0.000; y 0.245.



--- w ---
Density functional theory data (PBE-GGA) for an optimized crystal structure of KCu2Rh.

a = 4.869 Å, b = 4.861 Å, c = 2.812 Å
α = 90.00°, β = 90.00°, γ = 90.00°
Positions (direct):
Cu 0.000 0.000 0.000
Cu 0.500 0.500 0.000
K 0.500 0.000 0.500
Rh 0.000 0.500 0.500

The spin magnetization comes out at 0.00 μB per atom. As for the symmetry: No. 123.



--- x ---
Density functional theory data (PBE-GGA) for an optimized crystal structure of KCu2Rh.

a = 4.616 Å, b = 4.616 Å, c = 4.616 Å
α = 60.00°, β = 60.00°, γ = 60.00°
Positions (direct):
K 0.000 0.000 0.000
Rh 0.500 0.500 0.500
Cu 0.250 0.250 0.250
Cu 0.750 0.750 0.750

The spin magnetization comes out at 0.00 μB per atom. As for the symmetry: No. 225.



--- y ---
Density functional theory data (PBE-GGA) for an optimized crystal structure of KCu2Rh.

a = 4.524 Å, b = 4.524 Å, c = 6.759 Å
α = 84.13°, β = 84.13°, γ = 35.20°
Positions (direct):
Cu 0.997 0.997 0.993
Cu 0.271 0.271 0.154
K 0.500 0.500 0.502
Rh 0.732 0.732 0.851

The spin magnetization comes out at 0.00 μB per atom. As for the symmetry: No. 8.



--- z ---
Density functional theory data (PBE-GGA) for an optimized crystal structure of KCu2Rh.

a = 4.584 Å, b = 4.584 Å, c = 4.584 Å
α = 60.00°, β = 60.00°, γ = 60.00°
Positions (direct):
Cu 0.000 0.000 0.000
Cu 0.750 0.750 0.750
K 0.500 0.500 0.500
Rh 0.250 0.250 0.250

The spin magnetization comes out at 0.00 μB per atom. As for the symmetry: No. 216.



The computed energies, referenced to the most stable structure and given in eV/atom, are w 0.165; x 0.311; y 0.000; z 0.374.



--- w ---
Density functional theory data (PBE-GGA) for an optimized crystal structure of KCu2Rh.

a = 4.265 Å, b = 2.681 Å, c = 7.150 Å
α = 77.87°, β = 90.00°, γ = 90.00°
Positions (direct):
Cu 0.000 0.219 0.953
Cu 0.500 0.093 0.175
K 0.000 0.424 0.503
Rh 0.500 0.764 0.869

The spin magnetization comes out at 0.00 μB per atom. As for the symmetry: No. 6.



--- x ---
Density functional theory data (PBE-GGA) for an optimized crystal structure of KCu2Rh.

a = 6.110 Å, b = 6.110 Å, c = 6.110 Å
α = 154.97°, β = 127.02°, γ = 59.46°
Positions (direct):
Cu 0.044 0.044 0.000
Cu 0.456 0.456 0.000
K 0.750 0.250 0.500
Rh 0.250 0.750 0.500

The spin magnetization comes out at 0.00 μB per atom. As for the symmetry: No. 71.



The computed energies, referenced to the most stable structure and given in eV/atom, are w 0.000; x 0.193.



--- w ---
Density functional theory data (PBE-GGA) for an optimized crystal structure of KCu2Rh.

a = 2.874 Å, b = 3.187 Å, c = 7.919 Å
α = 90.00°, β = 90.00°, γ = 90.00°
Each line ends with the local moment (μB).
Positions (direct):
Cu 0.000 0.000 0.009  0.06
Cu 0.500 0.500 0.165  0.00
K 0.000 0.000 0.503  0.00
Rh 0.500 0.500 0.824  0.50

The spin magnetization comes out at 0.14 μB per atom. As for the symmetry: No. 25.



--- x ---
Density functional theory data (PBE-GGA) for an optimized crystal structure of KCu2Rh.

a = 4.585 Å, b = 4.585 Å, c = 6.585 Å
α = 84.74°, β = 84.74°, γ = 34.89°
Each line ends with the local moment (μB).
Positions (direct):
Cu 0.017 0.017 0.900  0.02
Cu 0.483 0.483 0.600  0.02
K 0.250 0.250 0.250  0.00
Rh 0.750 0.750 0.750  0.46

The spin magnetization comes out at 0.12 μB per atom. As for the symmetry: No. 12.



The computed energies, referenced to the most stable structure and given in eV/atom, are w 0.039; x 0.000.



--- w ---
Density functional theory data (PBE-GGA) for an optimized crystal structure of KCu2Rh.

a = 5.878 Å, b = 5.878 Å, c = 5.878 Å
α = 153.67°, β = 128.22°, γ = 59.01°
Each line ends with the local moment (μB).
Positions (direct):
Cu 0.996 0.996 0.000  0.02
Cu 0.788 0.288 0.500  0.02
K 0.503 0.503 0.000  0.00
Rh 0.212 0.712 0.500  0.52

The spin magnetization comes out at 0.13 μB per atom. As for the symmetry: No. 44.



--- x ---
Density functional theory data (PBE-GGA) for an optimized crystal structure of KCu2Rh.

a = 5.112 Å, b = 5.112 Å, c = 5.112 Å
α = 133.69°, β = 133.69°, γ = 67.57°
Positions (direct):
Cu 0.000 0.000 0.000
Cu 0.250 0.750 0.500
K 0.500 0.500 0.000
Rh 0.750 0.250 0.500

The spin magnetization comes out at 0.00 μB per atom. As for the symmetry: No. 119.



The computed energies, referenced to the most stable structure and given in eV/atom, are w 0.000; x 0.237.



--- w ---
Density functional theory data (PBE-GGA) for an optimized crystal structure of KCuRh2.

a = 5.864 Å, b = 5.864 Å, c = 4.927 Å
α = 65.14°, β = 65.14°, γ = 26.64°
Positions (direct):
Cu 0.250 0.250 0.250
K 0.750 0.750 0.750
Rh 0.969 0.969 0.031
Rh 0.531 0.531 0.469

The spin magnetization comes out at 0.00 μB per atom. As for the symmetry: No. 71.



--- x ---
Density functional theory data (PBE-GGA) for an optimized crystal structure of KCuRh2.

a = 4.557 Å, b = 4.557 Å, c = 6.796 Å
α = 84.67°, β = 84.67°, γ = 35.54°
Positions (direct):
Cu 0.482 0.482 0.585
K 0.251 0.251 0.251
Rh 0.014 0.014 0.893
Rh 0.753 0.753 0.770

The spin magnetization comes out at 0.00 μB per atom. As for the symmetry: No. 8.



The computed energies, referenced to the most stable structure and given in eV/atom, are w 0.099; x 0.000.



--- w ---
Density functional theory data (PBE-GGA) for an optimized crystal structure of KCu3Rh.

a = 4.630 Å, b = 4.630 Å, c = 4.630 Å
α = 90.00°, β = 90.00°, γ = 90.00°
Positions (direct):
K 0.000 0.000 0.000
Rh 0.500 0.500 0.500
Cu 0.000 0.500 0.000
Cu 0.000 0.000 0.500
Cu 0.500 0.000 0.000

The spin magnetization comes out at 0.00 μB per atom. As for the symmetry: No. 221.



--- x ---
Density functional theory data (PBE-GGA) for an optimized crystal structure of KCu3Rh.

a = 4.801 Å, b = 4.801 Å, c = 4.801 Å
α = 90.00°, β = 90.00°, γ = 90.00°
Positions (direct):
K 0.500 0.500 0.500
Rh 0.000 0.000 0.000
Cu 0.000 0.500 0.000
Cu 0.000 0.000 0.500
Cu 0.500 0.000 0.000

The spin magnetization comes out at 0.00 μB per atom. As for the symmetry: No. 221.



The computed energies, referenced to the most stable structure and given in eV/atom, are w 1.303; x 0.000.



--- w ---
Density functional theory data (PBE-GGA) for an optimized crystal structure of K2Cu2Rh.

a = 9.504 Å, b = 9.504 Å, c = 2.686 Å
α = 90.00°, β = 90.00°, γ = 90.00°
Positions (direct):
K 0.299 0.799 0.000
K 0.799 0.701 0.000
K 0.701 0.201 0.000
K 0.201 0.299 0.000
Rh 0.000 0.000 0.000
Rh 0.500 0.500 0.000
Cu 0.088 0.588 0.500
Cu 0.588 0.912 0.500
Cu 0.912 0.412 0.500
Cu 0.412 0.088 0.500

The spin magnetization comes out at 0.00 μB per atom. As for the symmetry: No. 127.



--- x ---
Density functional theory data (PBE-GGA) for an optimized crystal structure of K2Cu2Rh.

a = 3.345 Å, b = 3.345 Å, c = 10.827 Å
α = 81.11°, β = 81.11°, γ = 90.00°
Each line ends with the local moment (μB).
Positions (direct):
K 0.392 0.392 0.217  0.00
K 0.608 0.608 0.783  0.00
Rh 0.000 0.000 0.000  0.52
Cu 0.750 0.250 0.500  0.01
Cu 0.250 0.750 0.500  0.01

The spin magnetization comes out at 0.11 μB per atom. As for the symmetry: No. 139.



The computed energies, referenced to the most stable structure and given in eV/atom, are w 0.293; x 0.000.



--- w ---
Density functional theory data (PBE-GGA) for an optimized crystal structure of K2CuTeRh.

a = 6.168 Å, b = 4.627 Å, c = 6.168 Å
α = 90.00°, β = 90.00°, γ = 90.00°
Each line ends with the local moment (μB).
Positions (direct):
K 0.000 0.000 0.500  0.01
K 0.500 0.000 0.000  0.01
Te 0.500 0.500 0.500  0.30
Rh 0.000 0.000 0.000  0.98
Cu 0.000 0.500 0.000  0.28

The spin magnetization comes out at 0.41 μB per atom. As for the symmetry: No. 123.



--- x ---
Density functional theory data (PBE-GGA) for an optimized crystal structure of K2CuTeRh.

a = 6.727 Å, b = 4.909 Å, c = 6.727 Å
α = 90.00°, β = 90.00°, γ = 90.00°
Positions (direct):
K 0.000 0.000 0.500
K 0.500 0.000 0.000
Te 0.000 0.000 0.000
Rh 0.000 0.500 0.000
Cu 0.500 0.500 0.500

The spin magnetization comes out at 0.00 μB per atom. As for the symmetry: No. 123.



The computed energies, referenced to the most stable structure and given in eV/atom, are w 0.146; x 0.000.



--- w ---
Density functional theory data (PBE-GGA) for an optimized crystal structure of KCu2Ru.

a = 5.039 Å, b = 5.039 Å, c = 2.588 Å
α = 90.00°, β = 90.00°, γ = 89.66°
Positions (direct):
Cu 0.000 0.000 0.000
Cu 0.500 0.500 0.000
K 0.500 0.000 0.500
Ru 0.000 0.500 0.500

The spin magnetization comes out at 0.00 μB per atom. As for the symmetry: No. 65.



--- x ---
Density functional theory data (PBE-GGA) for an optimized crystal structure of KCu2Ru.

a = 4.573 Å, b = 4.573 Å, c = 4.573 Å
α = 60.00°, β = 60.00°, γ = 60.00°
Each line ends with the local moment (μB).
Positions (direct):
Cu 0.000 0.000 0.000  0.10
Cu 0.250 0.250 0.250  0.00
K 0.500 0.500 0.500  0.00
Ru 0.750 0.750 0.750  0.93

The spin magnetization comes out at 0.24 μB per atom. As for the symmetry: No. 216.



The computed energies, referenced to the most stable structure and given in eV/atom, are w 0.000; x 0.456.



--- w ---
Density functional theory data (PBE-GGA) for an optimized crystal structure of KCuRu.

a = 6.380 Å, b = 6.380 Å, c = 6.380 Å
α = 156.36°, β = 141.80°, γ = 45.41°
Each line ends with the local moment (μB).
Positions (direct):
Cu 0.056 0.056 0.000  0.04
K 0.333 0.333 0.000  0.00
Ru 0.611 0.611 0.000  0.34

The spin magnetization comes out at 0.13 μB per atom. As for the symmetry: No. 44.



--- x ---
Density functional theory data (PBE-GGA) for an optimized crystal structure of KCuRu.

a = 4.725 Å, b = 4.725 Å, c = 4.725 Å
α = 60.00°, β = 60.00°, γ = 60.00°
Each line ends with the local moment (μB).
Positions (direct):
Cu 0.500 0.500 0.500  -0.01
K 0.750 0.750 0.750  0.02
Ru 0.000 0.000 0.000  1.88

The spin magnetization comes out at 0.66 μB per atom. As for the symmetry: No. 216.



--- y ---
Density functional theory data (PBE-GGA) for an optimized crystal structure of KCuRu.

a = 6.495 Å, b = 6.495 Å, c = 6.495 Å
α = 151.03°, β = 151.03°, γ = 41.43°
Positions (direct):
Cu 0.953 0.953 0.000
K 0.665 0.665 0.000
Ru 0.382 0.382 0.000

The spin magnetization comes out at 0.00 μB per atom. As for the symmetry: No. 107.



The computed energies, referenced to the most stable structure and given in eV/atom, are w 0.000; x 1.382; y 0.116.



--- w ---
Density functional theory data (PBE-GGA) for an optimized crystal structure of KCu3Ru.

a = 4.819 Å, b = 4.819 Å, c = 4.819 Å
α = 90.00°, β = 90.00°, γ = 90.00°
Each line ends with the local moment (μB).
Positions (direct):
Ru 0.000 0.000 0.000  1.35
K 0.500 0.500 0.500  0.00
Cu 0.000 0.500 0.000  0.18
Cu 0.000 0.000 0.500  0.36
Cu 0.500 0.000 0.000  0.09

The spin magnetization comes out at 0.40 μB per atom. As for the symmetry: No. 221.



--- x ---
Density functional theory data (PBE-GGA) for an optimized crystal structure of KCu3Ru.

a = 4.630 Å, b = 4.630 Å, c = 4.630 Å
α = 90.00°, β = 90.00°, γ = 90.00°
Each line ends with the local moment (μB).
Positions (direct):
Ru 0.500 0.500 0.500  1.71
K 0.000 0.000 0.000  -0.04
Cu 0.000 0.500 0.000  -0.03
Cu 0.000 0.000 0.500  -0.04
Cu 0.500 0.000 0.000  0.00

The spin magnetization comes out at 0.27 μB per atom. As for the symmetry: No. 221.



The computed energies, referenced to the most stable structure and given in eV/atom, are w 0.000; x 1.313.